# PrNd2Ir (PBE, relaxed)
data_PrNd2Ir
_chemical_formula_sum 'Pr3 Nd6 Ir3'
_cell_length_a 4.082
_cell_length_b 4.082
_cell_length_c 27.902
_cell_angle_alpha 90.00
_cell_angle_beta 90.00
_cell_angle_gamma 120.00
_space_group_name_H-M_alt 'P 1'
_space_group_IT_number 1
loop_
_space_group_symop_operation_xyz
'x,y,z'
loop_
_atom_site_label
_atom_site_fract_x
_atom_site_fract_y
_atom_site_fract_z
Pr1 0.000 0.000 0.000
Pr2 0.333 0.667 0.667
Pr3 0.667 0.333 0.333
Nd1 0.000 0.000 0.555
Nd2 0.000 0.000 0.775
Nd3 0.333 0.667 0.222
Nd4 0.333 0.667 0.442
Nd5 0.667 0.333 0.108
Nd6 0.667 0.333 0.888
Ir1 0.000 0.000 0.165
Ir2 0.333 0.667 0.832
Ir3 0.667 0.333 0.498
# Space-group type: R3m (160)
# DOS(E_F) (states/eV/cell): 13.42
# VASP energy (eV/atom): -6.070